1.
Hf2Ge2Os, optimized geometry, DFT GGA-PBEsol; E_tot = -9.273 eV per atom; DOS at the Fermi energy = 0.337 states/eV per atom; SG = P4/mbm (127)
1.0
-2.4908 2.8352 -1.6047
-2.0594 -4.2436 -4.3011
-4.6341 -1.8065 4.0013
Ge Hf Os
4 4 2
direct
0.0000 0.8633 0.6367
0.0000 0.1367 0.3633
0.0000 0.6367 0.1367
0.0000 0.3633 0.8633
0.5000 0.1733 0.6733
0.5000 0.6733 0.8267
0.5000 0.3267 0.1733
0.5000 0.8267 0.3267
0.0000 0.0000 0.0000
0.0000 0.5000 0.5000


2.
SrHfGe2Os, optimized geometry, DFT GGA-PBEsol; E_tot = -4.814 eV per atom; DOS at the Fermi energy = 0.941 states/eV per atom; SG = P4/mmm (123)
1.0
4.7741 0.0000 0.0000
0.0000 5.0378 0.0000
0.0000 0.0000 5.0378
Os Hf Sr Ge
1 1 1 2
direct
0.5000 0.0000 0.0000
0.5000 0.5000 0.5000
0.0000 0.0000 0.0000
0.0000 0.5000 0.0000
0.0000 0.0000 0.5000


3.
HfGeP2, optimized geometry, DFT GGA-PBEsol; E_tot = -6.889 eV per atom; DOS at the Fermi energy = 0.567 states/eV per atom; SG = Fm-3m (225)
1.0
4.5451 0.0000 0.0000
2.2725 3.9362 0.0000
2.2725 1.3121 3.7111
Hf P Ge
1 2 1
direct
0.5000 0.5000 0.5000
0.7500 0.7500 0.7500
0.2500 0.2500 0.2500
0.0000 0.0000 0.0000


How do the records compare in calculated formation energy? In the order shown, they have -0.653; 2.073; -0.133 eV per atom.